*a*
Compound: LaSm2Si
Source: Alexandria via LeMat-Bulk
Functional: GGA-PBE
Structure: optimized geometry

```
LaSm2Si
1.0
1.851 1.069 11.014
-1.851 1.069 11.014
0.000 -2.137 11.014
La Sm Si
1 2 1
direct
0.000 0.000 0.000 La
0.109 0.109 0.109 Sm
0.891 0.891 0.891 Sm
0.500 0.500 0.500 Si
```

- Fermi-level density of states (states/eV/atom) = 1.363
- magnetization (μB per cell) = 0.0



*b*
Compound: LaSm2Si
Source: Alexandria via LeMat-Bulk
Functional: GGA-PBE
Structure: optimized geometry

```
LaSm2Si
1.0
4.807 0.000 0.000
0.000 4.807 0.000
0.000 0.000 4.682
La Sm Si
1 2 1
direct
0.000 0.000 0.000 La
0.000 0.500 0.500 Sm
0.500 0.000 0.500 Sm
0.500 0.500 0.000 Si
```

- Fermi-level density of states (states/eV/atom) = 1.050
- magnetization (μB per cell) = 0.0



*c*
Compound: LaSm2Si
Source: Alexandria via LeMat-Bulk
Functional: GGA-PBE
Structure: optimized geometry

```
LaSm2Si
1.0
3.882 0.000 0.000
0.000 3.882 0.000
0.000 0.000 7.469
La Sm Si
1 2 1
direct
0.000 0.000 0.000 La
0.500 0.500 0.303 Sm
0.500 0.500 0.697 Sm
0.000 0.000 0.500 Si
```

- Fermi-level density of states (states/eV/atom) = 1.319
- magnetization (μB per cell) = 0.0



Q: Which of them is the least stable? A: *a*.



*a*
Compound: LaSi3Sn
Source: Alexandria via LeMat-Bulk
Functional: GGA-PBE
Structure: optimized geometry

```
LaSi3Sn
1.0
5.481 0.000 0.000
0.000 5.481 0.000
0.000 0.000 5.481
La Si Sn
1 3 1
direct
0.000 0.000 0.000 La
0.000 0.000 0.500 Si
0.000 0.500 0.000 Si
0.500 0.000 0.000 Si
0.500 0.500 0.500 Sn
```

- Fermi-level density of states (states/eV/atom) = 0.831
- magnetization (μB per cell) = 0.0



*b*
Compound: LaSi3Sn
Source: Alexandria via LeMat-Bulk
Functional: GGA-PBE
Structure: optimized geometry

```
LaSi3Sn
1.0
5.120 0.000 0.000
0.000 5.120 0.000
0.000 0.000 5.120
La Si Sn
1 3 1
direct
0.000 0.000 0.000 La
0.000 0.500 0.500 Si
0.500 0.000 0.500 Si
0.500 0.500 0.000 Si
0.500 0.500 0.500 Sn
```

- Fermi-level density of states (states/eV/atom) = 0.731
- magnetization (μB per cell) = 0.0



Q: Which of them is the least stable? A: *a*.